Compound: Pr4NpPa3N8
Source: the Alexandria database
Functional: GGA-PBE
Structure: optimized geometry Values from VASP.

Density, g/cm3: 10.239
Symmetry: R-3m (166)
Formation energy from raw total energies, kJ/mol of formula units: -2273
Magnetization, μB per formula unit: 3.0
Uncorrected energy, eV/atom: -9.419

Quantum ESPRESSO input file:
```
&SYSTEM
  ibrav = 0, nat = 16, ntyp = 4
/
ATOMIC_SPECIES
Pr 140.91 Pr.upf
Np 237.00 Np.upf
Pa 231.04 Pa.upf
N 14.01 N.upf
CELL_PARAMETERS angstrom
3.5738 2.0633 5.8865
-3.5738 2.0633 5.8865
0.0000 -4.1266 5.8865
ATOMIC_POSITIONS crystal
Pr 0.0000 0.0000 0.0000
Pr 0.0000 0.5000 0.5000
Pr 0.5000 0.0000 0.5000
Pr 0.5000 0.5000 0.0000
Np 0.5000 0.5000 0.5000
Pa 0.0000 0.0000 0.5000
Pa 0.0000 0.5000 0.0000
Pa 0.5000 0.0000 0.0000
N 0.2324 0.7376 0.7376
N 0.2355 0.2355 0.2355
N 0.2624 0.2624 0.7676
N 0.2624 0.7676 0.2624
N 0.7376 0.2324 0.7376
N 0.7376 0.7376 0.2324
N 0.7645 0.7645 0.7645
N 0.7676 0.2624 0.2624
```